InReNiPd | GGA-PBE | relaxed

CIF file:
```
data_InReNiPd
_chemical_formula_sum 'In1 Re1 Ni1 Pd1'
_cell_length_a 4.438
_cell_length_b 4.438
_cell_length_c 4.438
_cell_angle_alpha 60.00
_cell_angle_beta 60.00
_cell_angle_gamma 60.00
_space_group_name_H-M_alt 'P 1'
_space_group_IT_number 1
loop_
_space_group_symop_operation_xyz
'x,y,z'
loop_
_atom_site_label
_atom_site_fract_x
_atom_site_fract_y
_atom_site_fract_z
Ni1 0.750 0.750 0.750
Pd1 0.250 0.250 0.250
In1 0.000 0.000 0.000
Re1 0.500 0.500 0.500
```

Values from the calculation:
Uncorrected energy in eV per atom: -6.150

Gd2DySn3PdPt2 | GGA-PBE | relaxed

CIF file:
```
data_Gd2DySn3PdPt2
_chemical_formula_sum 'Gd2 Dy1 Sn3 Pd1 Pt2'
_cell_length_a 4.042
_cell_length_b 7.540
_cell_length_c 7.540
_cell_angle_alpha 119.92
_cell_angle_beta 90.00
_cell_angle_gamma 90.00
_space_group_name_H-M_alt 'P 1'
_space_group_IT_number 1
loop_
_space_group_symop_operation_xyz
'x,y,z'
loop_
_atom_site_label
_atom_site_fract_x
_atom_site_fract_y
_atom_site_fract_z
Pd1 0.000 0.001 0.001
Pt1 0.500 0.665 0.334
Pt2 0.500 0.334 0.665
Sn1 0.500 0.257 0.001
Sn2 0.500 0.001 0.257
Sn3 0.500 0.743 0.743
Dy1 0.000 0.409 0.409
Gd1 0.000 0.000 0.590
Gd2 0.000 0.590 0.000
```

Values from the calculation:
Uncorrected energy in eV per atom: -5.850

CsNaAgSb | GGA-PBE | relaxed

CIF file:
```
data_CsNaAgSb
_chemical_formula_sum 'Cs2 Na2 Ag2 Sb2'
_cell_length_a 5.935
_cell_length_b 7.079
_cell_length_c 7.079
_cell_angle_alpha 97.98
_cell_angle_beta 90.00
_cell_angle_gamma 90.00
_space_group_name_H-M_alt 'P 1'
_space_group_IT_number 1
loop_
_space_group_symop_operation_xyz
'x,y,z'
loop_
_atom_site_label
_atom_site_fract_x
_atom_site_fract_y
_atom_site_fract_z
Cs1 0.500 0.548 0.195
Cs2 0.500 0.195 0.548
Ag1 0.254 0.969 0.969
Ag2 0.746 0.969 0.969
Sb1 0.500 0.716 0.716
Sb2 0.000 0.209 0.209
Na1 0.000 0.533 0.862
Na2 0.000 0.862 0.533
```

Values from the calculation:
Excess energy over the best structure of this formula in the dataset in eV/atom: 0.0580
Uncorrected energy in eV per atom: -2.584

LiAg2Sn | GGA-PBE | relaxed

CIF file:
```
data_LiAg2Sn
_chemical_formula_sum 'Li4 Ag8 Sn4'
_cell_length_a 6.068
_cell_length_b 6.057
_cell_length_c 8.124
_cell_angle_alpha 90.00
_cell_angle_beta 90.00
_cell_angle_gamma 90.00
_space_group_name_H-M_alt 'P 1'
_space_group_IT_number 1
loop_
_space_group_symop_operation_xyz
'x,y,z'
loop_
_atom_site_label
_atom_site_fract_x
_atom_site_fract_y
_atom_site_fract_z
Ag1 0.500 0.500 0.750
Ag2 0.000 0.500 0.750
Ag3 0.500 0.000 0.750
Ag4 0.000 0.000 0.750
Ag5 0.000 0.500 0.250
Ag6 0.500 0.500 0.250
Ag7 0.500 0.000 0.250
Ag8 0.000 0.000 0.250
Li1 0.750 0.750 0.500
Li2 0.250 0.250 0.000
Li3 0.250 0.250 0.500
Li4 0.750 0.750 0.000
Sn1 0.751 0.250 0.000
Sn2 0.251 0.750 0.500
Sn3 0.749 0.250 0.500
Sn4 0.249 0.750 0.000
```

Values from the calculation:
Uncorrected energy in eV per atom: -3.084

LaHoCo2Ge2C | GGA-PBE | relaxed

CIF file:
```
data_LaHoCo2Ge2C
_chemical_formula_sum 'La1 Ho1 Co2 Ge2 C1'
_cell_length_a 5.841
_cell_length_b 5.841
_cell_length_c 7.013
_cell_angle_alpha 126.13
_cell_angle_beta 126.13
_cell_angle_gamma 40.24
_space_group_name_H-M_alt 'P 1'
_space_group_IT_number 1
loop_
_space_group_symop_operation_xyz
'x,y,z'
loop_
_atom_site_label
_atom_site_fract_x
_atom_site_fract_y
_atom_site_fract_z
Co1 0.189 0.189 0.080
Co2 0.813 0.813 0.923
C1 0.006 0.006 0.018
Ge1 0.167 0.167 0.711
Ge2 0.830 0.830 0.280
La1 0.440 0.440 0.701
Ho1 0.556 0.556 0.288
```

Values from the calculation:
Uncorrected energy in eV per atom: -6.602

RbErO3 | GGA-PBE | relaxed

CIF file:
```
data_RbErO3
_chemical_formula_sum 'Rb1 Er1 O3'
_cell_length_a 4.400
_cell_length_b 4.400
_cell_length_c 4.447
_cell_angle_alpha 90.00
_cell_angle_beta 90.00
_cell_angle_gamma 90.00
_space_group_name_H-M_alt 'P 1'
_space_group_IT_number 1
loop_
_space_group_symop_operation_xyz
'x,y,z'
loop_
_atom_site_label
_atom_site_fract_x
_atom_site_fract_y
_atom_site_fract_z
O1 0.500 0.000 0.581
O2 0.000 0.500 0.581
O3 0.500 0.500 0.078
Er1 0.500 0.500 0.579
Rb1 0.000 0.000 0.082
```

Values from the calculation:
Uncorrected energy in eV per atom: -5.975

Gd4ZrSe4O4 | GGA-PBE | relaxed

CIF file:
```
data_Gd4ZrSe4O4
_chemical_formula_sum 'Gd4 Zr1 Se4 O4'
_cell_length_a 8.117
_cell_length_b 8.117
_cell_length_c 9.863
_cell_angle_alpha 116.35
_cell_angle_beta 116.35
_cell_angle_gamma 26.92
_space_group_name_H-M_alt 'P 1'
_space_group_IT_number 1
loop_
_space_group_symop_operation_xyz
'x,y,z'
loop_
_atom_site_label
_atom_site_fract_x
_atom_site_fract_y
_atom_site_fract_z
Gd1 0.473 0.473 0.662
Gd2 0.224 0.224 0.331
Gd3 0.527 0.527 0.338
Gd4 0.776 0.776 0.669
Zr1 0.000 0.000 0.000
Se1 0.884 0.884 0.368
Se2 0.629 0.629 0.017
Se3 0.371 0.371 0.983
Se4 0.116 0.116 0.632
O1 0.945 0.945 0.765
O2 0.684 0.684 0.412
O3 0.055 0.055 0.235
O4 0.316 0.316 0.588
```

Values from the calculation:
Uncorrected energy in eV per atom: -7.378

Gd3Mg3Tl2Ga | GGA-PBE | relaxed

CIF file:
```
data_Gd3Mg3Tl2Ga
_chemical_formula_sum 'Gd3 Mg3 Tl2 Ga1'
_cell_length_a 7.577
_cell_length_b 7.577
_cell_length_c 4.564
_cell_angle_alpha 90.00
_cell_angle_beta 90.00
_cell_angle_gamma 120.00
_space_group_name_H-M_alt 'P 1'
_space_group_IT_number 1
loop_
_space_group_symop_operation_xyz
'x,y,z'
loop_
_atom_site_label
_atom_site_fract_x
_atom_site_fract_y
_atom_site_fract_z
Gd1 0.000 0.415 0.000
Gd2 0.585 0.585 0.000
Gd3 0.415 0.000 0.000
Tl1 0.667 0.333 0.500
Tl2 0.333 0.667 0.500
Mg1 0.000 0.764 0.500
Mg2 0.236 0.236 0.500
Mg3 0.764 0.000 0.500
Ga1 0.000 0.000 0.000
```

Values from the calculation:
Uncorrected energy in eV per atom: -3.311